# BaNaEuSi, relaxed, DFT PBE
data_BaNaEuSi
_chemical_formula_sum 'Ba4 Na4 Eu4 Si4'
_symmetry_space_group_name_H-M 'F -4 3 m'
_symmetry_Int_Tables_number 216
_symmetry_space_group_name_Hall 'F -4 2 3'
_cell_length_a 8.021
_cell_length_b 8.021
_cell_length_c 8.021
_cell_angle_alpha 90.00
_cell_angle_beta 90.00
_cell_angle_gamma 90.00
loop_
_atom_site_label
_atom_site_fract_x
_atom_site_fract_y
_atom_site_fract_z
_atom_site_occupancy
Ba1 0.000 0.000 0.000 1
Na1 0.250 0.250 0.750 1
Eu1 0.000 0.000 0.500 1
Si1 0.250 0.250 0.250 1
# E ... -19.40 eV per formula unit
# Volume ... 32.25 A^3/atom